# 1
Ta2Pt7Rh | GGA-PBE | relaxed

Cell and atoms, written as extended XYZ:
```
10
Lattice="-1.645 3.374 1.157 -2.193 -3.370 6.713 6.798 3.705 -1.141" Properties=species:S:1:pos:R:3 pbc="T T T"
Ta -0.253 0.490 4.879
Ta 3.214 3.218 1.850
Pt -0.456 -2.004 5.196
Pt 5.061 2.338 0.377
Pt 0.987 2.480 0.836
Pt 1.974 1.228 5.893
Pt -0.867 1.022 2.456
Pt 3.827 2.686 4.274
Pt 1.480 1.854 3.365
Rh 0.000 0.000 0.000
```

Results
V = 19.722 Å³/atom
energy of formation = 0.0715 eV per atom
E_tot = -7.263 eV per atom
symmetry = No. 65

# 2
Ta3Pt3Rh2 | GGA-PBE | relaxed

Cell and atoms, written as extended XYZ:
```
8
Lattice="3.846 0.000 -1.161 -0.325 3.845 -1.075 0.437 0.298 8.399" Properties=species:S:1:pos:R:3 pbc="T T T"
Ta 3.526 1.621 4.731
Ta 0.432 2.523 1.432
Ta 0.000 0.000 0.000
Pt 1.498 3.600 4.962
Pt 1.761 1.923 -1.118
Pt 2.461 0.544 1.201
Rh 2.851 3.026 2.495
Rh 1.107 1.118 3.667
```

Results
V = 15.937 Å³/atom
energy of formation = -0.6258 eV per atom
E_tot = -9.174 eV per atom
symmetry = No. 71

# 3
TaPt2Rh | GGA-PBE | relaxed

Cell and atoms, written as extended XYZ:
```
4
Lattice="-2.232 -0.039 4.358 -0.384 -2.241 4.337 3.082 2.562 2.577" Properties=species:S:1:pos:R:3 pbc="T T T"
Ta -1.308 -1.140 4.348
Pt 1.663 1.357 4.094
Pt -1.198 -1.074 7.179
Rh 1.541 1.281 1.289
```

Results
V = 15.736 Å³/atom
energy of formation = -0.4260 eV per atom
E_tot = -8.247 eV per atom
symmetry = No. 12

# 4
Ta2PtRh | GGA-PBE | relaxed

Cell and atoms, written as extended XYZ:
```
4
Lattice="4.013 0.000 0.000 0.000 4.013 0.000 0.000 0.000 4.021" Properties=species:S:1:pos:R:3 pbc="T T T"
Rh 0.000 2.006 2.010
Pt 2.007 0.000 2.010
Ta 0.000 0.000 0.000
Ta 2.007 2.006 0.000
```

Results
V = 16.187 Å³/atom
energy of formation = -0.5949 eV per atom
E_tot = -9.869 eV per atom
symmetry = No. 123

# 5
TaPt2Rh | GGA-PBE | relaxed

Cell and atoms, written as extended XYZ:
```
4
Lattice="2.305 2.392 3.004 -2.142 2.839 2.722 -0.371 -0.932 4.365" Properties=species:S:1:pos:R:3 pbc="T T T"
Ta -0.052 1.075 2.523
Pt 0.000 0.000 0.000
Pt -0.156 3.224 7.568
Rh -0.104 2.149 5.045
```

Results
V = 15.879 Å³/atom
energy of formation = -0.4207 eV per atom
E_tot = -8.242 eV per atom
symmetry = No. 216

# 6
TaPt4Rh2 | GGA-PBE | relaxed

Cell and atoms, written as extended XYZ:
```
7
Lattice="3.951 0.000 0.000 1.976 4.380 -0.389 0.000 -0.408 6.277" Properties=species:S:1:pos:R:3 pbc="T T T"
Ta 0.000 0.000 0.000
Pt 1.976 0.302 4.451
Pt 1.976 2.861 3.363
Pt 3.951 3.671 1.438
Pt 3.951 1.112 2.525
Rh 3.951 2.167 5.214
Rh 1.976 1.805 0.674
```

Results
V = 15.431 Å³/atom
energy of formation = -0.4208 eV per atom
E_tot = -7.666 eV per atom
symmetry = No. 12

# 7
Ta2Pt9Rh | GGA-PBE | relaxed

Cell and atoms, written as extended XYZ:
```
12
Lattice="-2.810 1.842 -3.636 1.944 -5.149 -3.036 -5.405 -2.490 1.888" Properties=species:S:1:pos:R:3 pbc="T T T"
Ta -3.767 -1.557 -0.063
Ta -2.504 -4.240 -4.721
Pt -4.843 -3.960 -0.435
Pt -1.428 -1.837 -4.349
Pt -3.135 -2.899 -2.392
Pt -4.189 -5.451 -2.755
Pt -5.633 -1.667 -2.055
Pt -5.052 -3.362 -4.394
Pt -2.082 -0.346 -2.029
Pt -1.219 -2.435 -0.390
Pt -0.638 -4.130 -2.729
Rh 0.000 0.000 0.000
```

Results
V = 15.899 Å³/atom
energy of formation = -0.4354 eV per atom
E_tot = -7.554 eV per atom
symmetry = No. 2

# 8
TaPt2Rh6 | GGA-PBE | relaxed

Cell and atoms, written as extended XYZ:
```
9
Lattice="-3.499 -1.736 -0.006 0.007 -4.402 -1.843 0.443 -5.310 6.344" Properties=species:S:1:pos:R:3 pbc="T T T"
Ta 0.225 -4.856 2.251
Pt -0.843 -7.103 3.451
Pt -2.206 -4.346 1.044
Rh -1.889 -9.393 4.677
Rh -1.160 -2.056 -0.183
Rh 0.073 -4.540 -0.456
Rh -0.993 -6.791 0.706
Rh -3.123 -6.909 4.951
Rh -2.056 -4.659 3.789
```

Results
V = 14.829 Å³/atom
distance to the lowest polymorph of the same formula = 0.0 meV/atom
energy of formation = -0.2875 eV per atom
E_tot = -7.848 eV per atom
symmetry = No. 12